Entry 1:
Li2La3Hg2: optimized geometry, PBE.

Calculated values
crystal system = orthorhombic
ΔH_f (0 K) = -0.258 eV/atom

Geometry as extended XYZ:
```
7
Lattice="3.586 0.000 -0.614 -0.193 4.825 -1.125 0.059 0.047 11.121" Properties=species:S:1:pos:R:3 pbc="T T T"
Li 1.933 2.744 0.511
Li 1.519 2.128 8.871
La 0.000 0.000 0.000
La 0.596 3.382 3.479
La 2.857 1.490 5.904
Hg 2.265 0.661 2.448
Hg 1.188 4.211 6.935
```


Entry 2:
Li3La2Hg2: optimized geometry, PBE.

Calculated values
crystal system = monoclinic
ΔH_f (0 K) = -0.288 eV/atom

Geometry as extended XYZ:
```
7
Lattice="4.796 0.000 0.000 -2.398 5.495 -0.066 0.000 -2.606 6.690" Properties=species:S:1:pos:R:3 pbc="T T T"
Li 2.398 0.000 0.000
Li 2.398 0.235 2.858
Li 0.000 2.654 3.766
La 2.398 3.327 1.493
La 0.000 -0.438 5.131
Hg 2.398 1.852 5.135
Hg 0.000 1.036 1.489
```


Entry 3:
LiLa3Hg2: optimized geometry, PBE.

Calculated values
crystal system = orthorhombic
ΔH_f (0 K) = -0.326 eV/atom
distance to the lowest polymorph of the same formula = 0.0 kJ/mol of formula units

Geometry as extended XYZ:
```
6
Lattice="4.002 0.000 0.000 0.000 5.138 -1.701 0.000 0.017 8.662" Properties=species:S:1:pos:R:3 pbc="T T T"
Li 0.000 0.000 0.000
La 2.001 2.569 -0.851
La 2.001 4.271 4.290
La 2.001 0.884 2.670
Hg 0.000 1.776 5.365
Hg 0.000 3.379 1.596
```


Entry 4:
Li4LaHg: optimized geometry, PBE.

Calculated values
crystal system = cubic
ΔH_f (0 K) = -0.131 eV/atom

Geometry as extended XYZ:
```
6
Lattice="5.586 0.000 0.000 2.793 4.838 0.000 2.793 1.613 4.561" Properties=species:S:1:pos:R:3 pbc="T T T"
Hg 2.793 1.613 1.140
La 0.000 0.000 0.000
Li 4.220 4.014 2.838
Li 6.953 4.014 2.838
Li 5.587 1.648 2.838
Li 5.587 3.225 0.607
```


Entry 5:
Li2LaHg: optimized geometry, PBE.

Calculated values
crystal system = orthorhombic
ΔH_f (0 K) = -0.244 eV/atom

Geometry as extended XYZ:
```
8
Lattice="-1.021 -1.570 -4.382 -4.467 -3.022 2.123 -4.250 5.574 -1.007" Properties=species:S:1:pos:R:3 pbc="T T T"
Li -4.863 4.267 -0.396
Li -7.206 2.682 0.717
Li -2.131 -0.989 -1.741
Li -4.255 -2.426 -0.731
La -1.807 2.370 -0.428
La -5.187 0.909 -1.709
Hg -3.213 -0.226 0.829
Hg -3.780 3.504 -2.966
```


Entry 6:
Li5La4Hg6: optimized geometry, PBE.

Calculated values
crystal system = orthorhombic
ΔH_f (0 K) = -0.335 eV/atom

Geometry as extended XYZ:
```
30
Lattice="-3.600 3.138 0.996 -4.765 -10.134 2.762 4.807 1.332 13.181" Properties=species:S:1:pos:R:3 pbc="T T T"
Li -3.034 -7.142 11.542
Li -1.537 1.198 2.619
Li 0.666 -2.297 9.647
Li -5.272 -3.657 4.416
Li -1.670 -0.591 7.774
Li 0.242 -4.483 15.005
Li -1.508 -4.988 10.269
Li -3.381 -1.045 3.019
Li -2.679 -4.873 5.674
Li -0.600 -0.714 12.030
La -6.413 -5.837 7.162
La 3.153 0.255 10.593
La -0.395 -1.954 4.730
La -2.767 -3.600 13.295
La -3.815 -3.298 8.554
La 2.211 -1.824 13.742
La 1.766 -0.193 6.994
La -7.674 -6.121 3.501
Hg -3.502 -2.024 5.669
Hg -3.396 -6.609 8.555
Hg -0.736 -1.804 14.977
Hg -0.765 -3.290 7.603
Hg -1.836 -6.595 14.149
Hg -0.758 1.198 5.435
Hg -4.509 -6.612 4.537
Hg -0.033 0.675 9.703
Hg -0.534 -1.168 1.753
Hg -4.509 -4.907 11.115
Hg 1.676 1.455 13.425
Hg 0.212 -3.566 12.005
```